# 1
First-principles (PBE-GGA) data for an optimized crystal structure of Pu2NpSb2N2, as listed in the Alexandria database.

Structure (POSCAR):
```
Pu2NpSb2N2
1.0
-0.6957 -2.0047 -3.7538
-3.2601 -2.1938 1.7758
-3.0203 7.8085 -1.1337
Sb Np Pu N
2 1 2 2
Cartesian
-5.0270 1.3837 -2.2840
-1.9490 2.2263 -0.8278
0.0000 0.0000 0.0000
-3.9633 4.5271 -1.6832
-3.0128 -0.9171 -1.4286
-1.6300 -1.0969 0.8879
-0.3478 -1.0024 -1.8769
```

Results
Uncorrected formation energy (meV/atom): -745
Symmetry: I4/mmm (139)
Spin magnetization (μB per cell): 12.52
Final energy (eV per atom): -10.245

---

# 2
First-principles (PBE-GGA) data for an optimized crystal structure of SmPu2NpN4, as listed in the Alexandria database.

Structure (POSCAR):
```
SmPu2NpN4
1.0
-0.8570 3.3667 0.3476
-3.4666 -0.3717 -4.9462
-3.2971 -1.3436 4.8840
N Pu Sm Np
4 2 1 1
Cartesian
-3.4237 -1.1170 2.3777
-5.4074 0.4103 0.2289
-3.3401 -0.5983 -2.4399
-2.2134 1.2411 0.0565
-3.3819 -0.8577 -0.0311
-2.0771 1.0116 2.6158
0.0000 0.0000 0.0000
-2.1618 1.4975 -2.2993
```

Results
Uncorrected formation energy (meV/atom): -1231
Symmetry: P2/m (10)
Spin magnetization (μB per cell): 2.23
Final energy (eV per atom): -11.184